Below is a PBEsol-optimized structure of LaHg2Au, with properties calculated at the meta-GGA SCAN level.

The final energy is -62.71 eV/atom. The value obtained for the formation enthalpy at 0 K is -565 meV per atom.

Cell: 4.3678 4.3678 5.0510 Å, 90.00 90.00 90.00°
Closest atoms and distances in Å follow each position.
Space group P4/mmm (No. 123)
Asymmetric unit:
La 0.0000 0.0000 0.0000 [1 per cell]  4 Au 3.09, 8 Hg 3.34
Hg 0.0000 0.5000 0.5000 [2 per cell]  4 Hg 3.09, 4 La 3.34, 4 Au 3.34
Au 0.5000 0.5000 0.0000 [1 per cell]  4 La 3.09, 8 Hg 3.34